Entry 1:
VASP calculation (PBE) on a relaxed Tb5Pr5Er crystal.

Cell and atoms, written as POSCAR:
```
Tb5Pr5Er
1.0
9.5350 -3.0306 0.0000
9.5350 3.0306 0.0000
-2.6030 0.0000 6.5742
Tb Pr Er
5 5 1
Direct
0.0000 0.0000 0.0000 Tb
0.3311 0.3311 0.3299 Tb
0.3777 0.3777 0.8762 Tb
0.6223 0.6223 0.1238 Tb
0.6689 0.6689 0.6701 Tb
0.1750 0.1750 0.4310 Pr
0.1749 0.1749 0.9196 Pr
0.5000 0.5000 0.5000 Pr
0.8251 0.8251 0.0804 Pr
0.8250 0.8250 0.5690 Pr
0.0000 0.0000 0.5000 Er
```

Calculated values
* energy of formation: 0.253 eV per atom
* magnetic moment: 0.01 μB/atom
* space group: C2/m

=====

Entry 2:
VASP calculation (PBE) on a relaxed KCaMn2 crystal.

Cell and atoms, written as POSCAR:
```
KCaMn2
1.0
6.1751 -1.6604 0.0000
6.1751 1.6604 0.0000
-1.8211 0.0000 5.5405
K Ca Mn
1 1 2
Direct
0.0000 0.0000 0.0000 K
0.2020 0.2020 0.6385 Ca
0.4317 0.4317 0.4539 Mn
0.7689 0.7689 0.2093 Mn
```

Calculated values
* polymorph energy (0 for the lowest one): 141 meV per atom
* energy of formation: 0.785 eV per atom
* magnetic moment: 1.96 μB/atom
* space group: Cm

=====

Entry 3:
VASP calculation (PBE) on a relaxed HfZnS2 crystal.

Cell and atoms, written as POSCAR:
```
HfZnS2
1.0
-2.8870 2.8870 5.2619
2.8870 -2.8870 5.2619
2.8870 2.8870 -5.2619
Hf Zn S
2 2 4
Direct
0.0000 0.0000 0.0000 Hf
0.7500 0.2500 0.5000 Hf
0.2500 0.7500 0.5000 Zn
0.5000 0.5000 0.0000 Zn
0.1403 0.6250 0.0153 S
0.3750 0.3903 0.5153 S
0.6097 0.1250 0.9847 S
0.8750 0.8597 0.4847 S
```

Calculated values
* formation energy without anion corrections: -0.62 eV per atom
* magnetic moment: 0.13 μB/atom
* space group: I-42d

=====

Entry 4:
VASP calculation (PBE) on a relaxed La3Sc2Ag2 crystal.

Cell and atoms, written as POSCAR:
```
La3Sc2Ag2
1.0
2.4521 -11.2221 0.0000
2.4521 11.2221 0.0000
0.0000 0.0000 3.4918
La Sc Ag
3 2 2
Direct
0.0000 0.0000 0.0000 La
0.1482 0.8518 0.0000 La
0.8518 0.1482 0.0000 La
0.2875 0.7125 0.5000 Sc
0.7125 0.2875 0.5000 Sc
0.4264 0.5736 0.5000 Ag
0.5736 0.4264 0.5000 Ag
```

Calculated values
* energy of formation: 0.002 eV per atom
* magnetic moment: 0.00 μB/atom
* space group: Cmmm

=====

Entry 5:
VASP calculation (PBE) on a relaxed Cs4Rb2SiP2 crystal.

Cell and atoms, written as POSCAR:
```
Cs4Rb2SiP2
1.0
11.9190 -5.1408 0.0000
11.9190 5.1408 0.0000
-0.3784 0.0000 5.2827
Cs Rb Si P
4 2 1 2
Direct
0.1461 0.6588 0.5599 Cs
0.3412 0.8539 0.4401 Cs
0.6588 0.1461 0.5599 Cs
0.8539 0.3412 0.4401 Cs
0.2415 0.2415 0.0055 Rb
0.7585 0.7585 0.9945 Rb
0.0000 0.0000 0.0000 Si
0.0845 0.0845 0.9340 P
0.9155 0.9155 0.0660 P
```

Calculated values
* formation energy without anion corrections: -0.12 eV per atom
* magnetic moment: 0.02 μB/atom
* space group: C2/m

=====

Entry 6:
VASP calculation (PBE) on a relaxed CaErAgRh crystal.

Cell and atoms, written as POSCAR:
```
CaErAgRh
1.0
0.0000 3.5104 3.5104
3.5104 0.0000 3.5104
3.5104 3.5104 0.0000
Ca Er Ag Rh
1 1 1 1
Direct
0.0000 0.0000 0.0000 Ca
0.5000 0.5000 0.5000 Er
0.2500 0.2500 0.2500 Ag
0.7500 0.7500 0.7500 Rh
```

Calculated values
* polymorph energy (0 for the lowest one): 76 meV per atom
* energy of formation: -0.453 eV per atom
* magnetic moment: 0.00 μB/atom
* space group: F-43m

=====

Entry 7:
VASP calculation (PBE) on a relaxed CaGeAu crystal.

Cell and atoms, written as POSCAR:
```
CaGeAu
1.0
7.3086 0.0000 0.0000
0.0000 4.5254 0.0000
0.0000 0.0000 7.8539
Ca Ge Au
4 4 4
Direct
0.9996 0.2500 0.2051 Ca
0.0004 0.7500 0.7949 Ca
0.4996 0.2500 0.2949 Ca
0.5004 0.7500 0.7051 Ca
0.1946 0.2500 0.5896 Ge
0.3054 0.7500 0.0896 Ge
0.6946 0.2500 0.9104 Ge
0.8054 0.7500 0.4104 Ge
0.1999 0.7500 0.4170 Au
0.3001 0.2500 0.9170 Au
0.6999 0.7500 0.0830 Au
0.8001 0.2500 0.5830 Au
```

Calculated values
* energy of formation: -0.700 eV per atom
* magnetic moment: 0.00 μB/atom
* space group: Pnma

=====

Entry 8:
VASP calculation (PBE) on a relaxed BeIrPd3 crystal.

Cell and atoms, written as POSCAR:
```
BeIrPd3
1.0
4.8237 0.0000 0.0000
0.0000 4.8237 0.0000
0.0000 0.0000 4.8237
Be Ir Pd
1 1 3
Direct
0.0000 0.0000 0.0000 Be
0.5000 0.5000 0.5000 Ir
0.0000 0.5000 0.5000 Pd
0.5000 0.0000 0.5000 Pd
0.5000 0.5000 0.0000 Pd
```

Calculated values
* polymorph energy (0 for the lowest one): 1169 meV per atom
* energy of formation: 1.490 eV per atom
* magnetic moment: 0.03 μB/atom
* space group: Pm-3m

=====

Entry 9:
VASP calculation (PBE) on a relaxed ReHgB3 crystal.

Cell and atoms, written as POSCAR:
```
ReHgB3
1.0
4.2267 0.0000 0.0000
0.0000 4.2267 0.0000
0.0000 0.0000 4.2267
Re Hg B
1 1 3
Direct
0.0000 0.0000 0.0000 Re
0.5000 0.5000 0.5000 Hg
0.0000 0.5000 0.5000 B
0.5000 0.0000 0.5000 B
0.5000 0.5000 0.0000 B
```

Calculated values
* polymorph energy (0 for the lowest one): 1746 meV per atom
* energy of formation: 2.935 eV per atom
* magnetic moment: 0.43 μB/atom
* space group: Pm-3m

=====

Entry 10:
VASP calculation (PBE) on a relaxed Hf2Au2C crystal.

Cell and atoms, written as POSCAR:
```
Hf2Au2C
1.0
1.6495 0.9523 9.1250
-1.6495 0.9523 9.1250
0.0000 -1.9047 9.1250
Hf Au C
2 2 1
Direct
0.1210 0.1210 0.1210 Hf
0.8790 0.8790 0.8790 Hf
0.3745 0.3745 0.3745 Au
0.6255 0.6255 0.6255 Au
0.5000 0.5000 0.5000 C
```

Calculated values
* energy of formation: -0.609 eV per atom
* magnetic moment: 0.00 μB/atom
* space group: R-3m

=====

Entry 11:
VASP calculation (PBE) on a relaxed Nd3Ho2In7 crystal.

Cell and atoms, written as POSCAR:
```
Nd3Ho2In7
1.0
2.6014 -12.6702 0.0000
2.6014 12.6702 0.0000
0.0000 0.0000 5.4161
Nd Ho In
3 2 7
Direct
0.0000 0.0000 0.0000 Nd
0.1591 0.8409 0.0000 Nd
0.8409 0.1591 0.0000 Nd
0.3552 0.6448 0.5000 Ho
0.6448 0.3552 0.5000 Ho
0.0756 0.9244 0.5000 In
0.2277 0.7723 0.5000 In
0.4198 0.5802 0.0000 In
0.5000 0.5000 0.5000 In
0.5802 0.4198 0.0000 In
0.7723 0.2277 0.5000 In
0.9244 0.0756 0.5000 In
```

Calculated values
* energy of formation: -0.230 eV per atom
* magnetic moment: 0.00 μB/atom
* space group: Cmmm

=====

Entry 12:
VASP calculation (PBE) on a relaxed GeMoBr3 crystal.

Cell and atoms, written as POSCAR:
```
GeMoBr3
1.0
5.4150 0.0000 0.0000
0.0000 5.4150 0.0000
0.0000 0.0000 5.4150
Ge Mo Br
1 1 3
Direct
0.0000 0.0000 0.0000 Ge
0.5000 0.5000 0.5000 Mo
0.0000 0.0000 0.5000 Br
0.0000 0.5000 0.0000 Br
0.5000 0.0000 0.0000 Br
```

Calculated values
* formation energy without anion corrections: 0.50 eV per atom
* polymorph energy (0 for the lowest one): 143 meV per atom
* magnetic moment: 1.00 μB/atom
* space group: Pm-3m